Record 1
## GdHfNi2 (PBE)

Data for crystalline GdHfNi2 at its relaxed geometry.

The structure in CIF format:
```
data_GdHfNi2
_cell_length_a 4.2230
_cell_length_b 5.2506
_cell_length_c 5.2506
_cell_angle_alpha 38.24
_cell_angle_beta 90.00
_cell_angle_gamma 90.00
_symmetry_space_group_name_H-M 'P 1'
_symmetry_Int_Tables_number 1
loop_
_symmetry_equiv_pos_as_xyz
'x,y,z'
loop_
_atom_site_label
_atom_site_fract_x
_atom_site_fract_y
_atom_site_fract_z
_atom_site_occupancy
Gd1 0.0000 0.8568 0.8568 1
Hf1 0.5000 0.1340 0.1340 1
Ni1 0.5000 0.4256 0.4256 1
Ni2 0.0000 0.5836 0.5836 1
```

- total moment (μB/atom) = 0.000
- SG = Amm2 (38)
- formation energy (eV/atom) = -0.40

***

Record 2
## DyTePb (PBE)

Data for crystalline DyTePb at its relaxed geometry.

The structure in CIF format:
```
data_DyTePb
_cell_length_a 5.2236
_cell_length_b 5.2236
_cell_length_c 5.2236
_cell_angle_alpha 60.00
_cell_angle_beta 60.00
_cell_angle_gamma 60.00
_symmetry_space_group_name_H-M 'P 1'
_symmetry_Int_Tables_number 1
loop_
_symmetry_equiv_pos_as_xyz
'x,y,z'
loop_
_atom_site_label
_atom_site_fract_x
_atom_site_fract_y
_atom_site_fract_z
_atom_site_occupancy
Dy1 0.0000 0.0000 0.0000 1
Pb1 0.2500 0.2500 0.2500 1
Te1 0.7500 0.7500 0.7500 1
```

- total moment (μB/atom) = 0.000
- SG = F-43m (216)
- total energy (eV per atom) = -4.150

***

Record 3
## TmPO4 (PBE)

Data for crystalline TmPO4 at its relaxed geometry.

The structure in CIF format:
```
data_TmPO4
_cell_length_a 4.8121
_cell_length_b 4.8121
_cell_length_c 7.1295
_cell_angle_alpha 90.00
_cell_angle_beta 90.00
_cell_angle_gamma 112.49
_symmetry_space_group_name_H-M 'P 1'
_symmetry_Int_Tables_number 1
loop_
_symmetry_equiv_pos_as_xyz
'x,y,z'
loop_
_atom_site_label
_atom_site_fract_x
_atom_site_fract_y
_atom_site_fract_z
_atom_site_occupancy
O1 0.7645 0.2355 0.0680 1
O2 0.2173 0.2642 0.2500 1
O3 0.7358 0.7827 0.2500 1
O4 0.7645 0.2355 0.4320 1
O5 0.2355 0.7645 0.5680 1
O6 0.2642 0.2173 0.7500 1
O7 0.7827 0.7358 0.7500 1
O8 0.2355 0.7645 0.9320 1
P1 0.8646 0.1354 0.2500 1
P2 0.1354 0.8646 0.7500 1
Tm1 0.5000 0.5000 0.0000 1
Tm2 0.5000 0.5000 0.5000 1
```

- total moment (μB/atom) = 0.000
- SG = Cmcm (63)
- total energy (eV per atom) = -7.919